# CrIrI2N

Crystalline CrIrI2N at its relaxed geometry (PBE, Alexandria via LeMat-Bulk).

Values from the calculation:
The density of states at the Fermi level is 3.62 states/eV/f.u. For the mass density, the calculation gives 7.1 g cm⁻³. Its formation energy without anion corrections is 0.592 eV per atom.

a = 5.6850 Å, b = 5.6850 Å, c = 3.7122 Å
α = 90.00°, β = 90.00°, γ = 90.00°
Space group P4/mmm (No. 123)
Unique sites:
Cr (0.0000, 0.0000, 0.0000) [1 per cell]
Ir (0.5000, 0.5000, 0.5000) [1 per cell]
I (0.0000, 0.5000, 0.5000) [2 per cell]
N (0.5000, 0.5000, 0.0000) [1 per cell]